A plane-wave DFT calculation with PBEsol was carried out for a geometry-optimized ScNiOF2 structure.

Properties
Space-group type ... P4/mmm, No. 123
Electronic total energy ... -6.422 eV/atom
Formation energy without anion corrections ... -2.05 eV per atom

Cell: 3.988 3.988 4.057 Å, 90.00 90.00 90.00°
Last column: magnetic moment on the atom in μB.
Positions (direct):
1 O 0.000 0.000 0.500  0.04
2 Sc 0.000 0.000 0.000  0.00
3 F 0.000 0.500 0.000  0.00
4 F 0.500 0.000 0.000  0.00
5 Ni 0.500 0.500 0.500  1.01

A plane-wave DFT calculation with PBEsol was carried out for a geometry-optimized CuBi2O4 structure.

Properties
Space-group type ... I4/mmm, No. 139
Electronic total energy ... -5.856 eV/atom
Offset from the most stable computed form ... 48 meV per atom
Formation energy without anion corrections ... -1.01 eV per atom

Cell: 3.913 3.913 6.751 Å, 106.85 106.85 90.00°
Positions (direct):
1 O 0.500 0.000 0.000
2 O 0.000 0.500 0.000
3 Cu 0.000 0.000 0.000
4 Bi 0.647 0.647 0.294
5 O 0.250 0.750 0.500
6 Bi 0.353 0.353 0.706
7 O 0.750 0.250 0.500

A plane-wave DFT calculation with PBEsol was carried out for a geometry-optimized Pr3Er structure.

Properties
Space-group type ... I4/mmm, No. 139
Electronic total energy ... -5.110 eV/atom
Offset from the most stable computed form ... 4 meV per atom
Formation energy ... 0.010 eV/atom

Cell: 5.068 5.068 6.200 Å, 114.12 114.12 90.00°
Positions (direct):
1 Er 0.000 0.000 0.000
2 Pr 0.250 0.750 0.500
3 Pr 0.750 0.250 0.500
4 Pr 0.500 0.500 0.000

A plane-wave DFT calculation with PBEsol was carried out for a geometry-optimized Hf2TlMoW structure.

Properties
Space-group type ... P4/mmm, No. 123
Electronic total energy ... -8.210 eV/atom
Formation energy ... 1.632 eV/atom

Cell: 4.911 4.911 5.194 Å, 90.00 90.00 90.00°
Last column: magnetic moment on the atom in μB.
Positions (direct):
1 Hf 0.000 0.500 0.000  -0.07
2 Hf 0.500 0.000 0.000  -0.07
3 Mo 0.500 0.500 0.500  2.99
4 W 0.000 0.000 0.000  0.07
5 Tl 0.000 0.000 0.500  0.00

A plane-wave DFT calculation with PBEsol was carried out for a geometry-optimized FeSbO4 structure.

Properties
Space-group type ... Cmmm, No. 65
Electronic total energy ... -7.061 eV/atom
Formation energy without anion corrections ... -1.31 eV per atom

Cell: 3.056 4.681 4.681 Å, 92.45 90.00 90.00°
Last column: magnetic moment on the atom in μB.
Positions (direct):
1 O 0.000 0.806 0.194  0.10
2 O 0.000 0.194 0.806  0.10
3 O 0.500 0.692 0.692  0.17
4 Fe 0.000 0.500 0.500  3.76
5 O 0.500 0.308 0.308  0.17
6 Sb 0.500 0.000 0.000  0.03

A plane-wave DFT calculation with PBEsol was carried out for a geometry-optimized KCoP3O9 structure.

Properties
Space-group type ... P-6c2, No. 188
Electronic total energy ... -7.232 eV/atom
Formation energy without anion corrections ... -1.98 eV per atom

Cell: 6.615 6.615 9.794 Å, 90.00 90.00 120.00°
Last column: magnetic moment on the atom in μB.
Positions (direct):
1 O 0.524 0.908 0.750  0.01
2 P 0.108 0.381 0.750  0.01
3 O 0.742 0.744 0.618  0.04
4 O 0.742 0.998 0.118  0.04
5 O 0.384 0.476 0.750  0.01
6 O 0.002 0.744 0.118  0.04
7 O 0.256 0.998 0.882  0.04
8 O 0.092 0.616 0.750  0.01
9 P 0.619 0.727 0.750  0.01
10 O 0.256 0.998 0.618  0.04
11 O 0.092 0.476 0.250  0.01
12 O 0.384 0.908 0.250  0.01
13 K 0.667 0.333 0.000  0.00
14 O 0.742 0.744 0.882  0.04
15 O 0.002 0.744 0.382  0.04
16 O 0.524 0.616 0.250  0.01
17 O 0.742 0.998 0.382  0.04
18 O 0.002 0.258 0.882  0.04
19 P 0.108 0.727 0.250  0.01
20 O 0.256 0.258 0.382  0.04
21 Co 0.000 0.000 0.000  2.63
22 O 0.256 0.258 0.118  0.04
23 K 0.667 0.333 0.500  0.00
24 Co 0.000 0.000 0.500  2.63
25 P 0.619 0.892 0.250  0.01
26 P 0.273 0.892 0.750  0.01
27 O 0.002 0.258 0.618  0.04
28 P 0.273 0.381 0.250  0.01